# 1
DFT (GGA-PBE) results for ErZrZn2Pd4 after structural relaxation.

## Properties
- ΔE_f: -0.706 eV/atom
- Crystal system: tetragonal
- Space-group type: P4/mmm (123)

a b c (Å): 4.601 4.601 6.524
angles (deg): 90.00 90.00 90.00
Positions (direct):
Er 0.000 0.000 0.000
Zr 0.500 0.500 0.500
Zn 0.000 0.000 0.500
Zn 0.500 0.500 0.000
Pd 0.000 0.500 0.260
Pd 0.000 0.500 0.740
Pd 0.500 0.000 0.260
Pd 0.500 0.000 0.740

***

# 2
DFT (GGA-PBE) results for Pm2Er after structural relaxation.

## Properties
- ΔE_f: 2.320 eV/atom
- Crystal system: cubic
- Space-group type: Fd-3m (227)
- ΔE to the lowest computed polymorph: 2.0605 eV per atom

a b c (Å): 9.032 9.032 9.032
angles (deg): 60.00 60.00 60.00
Positions (direct):
Pm 0.000 0.000 0.000
Pm 0.000 0.000 0.500
Pm 0.000 0.500 0.000
Pm 0.500 0.000 0.000
Er 0.125 0.125 0.125
Er 0.875 0.875 0.875

***

| no. | magnetization (Bohr magnetons per cell) |
| --- | --- |
| 1 | 0.00 |
| 2 | 0.06 |